{"formula": "Ho2PuSc3Se6", "functional": "PBE", "state": "relaxed", "magnetic_moment_mub_per_fu": 5.99, "dft_energy_ev_per_atom": -6.921, "spacegroup": "No. 12", "lattice_angstrom": [[8.6819, -1.9789, 0.0000], [8.6819, 1.9789, 0.0000], [-1.8598, 0.0000, 7.7683]], "species": ["Ho", "Ho", "Pu", "Sc", "Sc", "Sc", "Se", "Se", "Se", "Se", "Se", "Se"], "fractional_positions": [[0.1635, 0.1635, 0.3295], [0.8365, 0.8365, 0.6705], [0.5000, 0.5000, 0.0000], [0.1644, 0.1644, 0.8377], [0.5000, 0.5000, 0.5000], [0.8356, 0.8356, 0.1623], [0.0035, 0.0035, 0.7378], [0.3276, 0.3276, 0.9212], [0.3347, 0.3347, 0.4081], [0.6653, 0.6653, 0.5919], [0.6724, 0.6724, 0.0788], [0.9965, 0.9965, 0.2622]]}

{"formula": "SmHoPuSc", "functional": "PBE", "state": "relaxed", "magnetic_moment_mub_per_fu": 6.06, "dft_energy_ev_per_atom": -7.298, "spacegroup": "No. 216", "ef_ev_per_atom": 0.192, "lattice_angstrom": [[0.0000, 3.8789, 3.8789], [3.8789, 0.0000, 3.8789], [3.8789, 3.8789, 0.0000]], "species": ["Sm", "Ho", "Pu", "Sc"], "fractional_positions": [[0.0000, 0.0000, 0.0000], [0.7500, 0.7500, 0.7500], [0.5000, 0.5000, 0.5000], [0.2500, 0.2500, 0.2500]]}

{"formula": "HoPu3Sc2Te6", "functional": "PBE", "state": "relaxed", "magnetic_moment_mub_per_fu": 17.99, "dft_energy_ev_per_atom": -7.727, "spacegroup": "No. 12", "lattice_angstrom": [[9.4672, -2.1506, 0.0000], [9.4672, 2.1506, 0.0000], [-2.1516, 0.0000, 8.4308]], "species": ["Ho", "Pu", "Pu", "Pu", "Sc", "Sc", "Te", "Te", "Te", "Te", "Te", "Te"], "fractional_positions": [[0.0000, 0.0000, 0.0000], [0.0000, 0.0000, 0.5000], [0.3356, 0.3356, 0.1683], [0.6644, 0.6644, 0.8317], [0.3322, 0.3322, 0.6657], [0.6678, 0.6678, 0.3343], [0.1666, 0.1666, 0.0960], [0.1706, 0.1706, 0.5726], [0.4940, 0.4940, 0.7509], [0.5060, 0.5060, 0.2491], [0.8294, 0.8294, 0.4274], [0.8334, 0.8334, 0.9040]]}

{"formula": "Ho3PuSc2Te6", "functional": "PBE", "state": "relaxed", "magnetic_moment_mub_per_fu": 6.32, "dft_energy_ev_per_atom": -6.149, "spacegroup": "No. 12", "lattice_angstrom": [[9.3784, -2.1367, 0.0000], [9.3784, 2.1367, 0.0000], [-2.0129, 0.0000, 8.3860]], "species": ["Ho", "Ho", "Ho", "Pu", "Sc", "Sc", "Te", "Te", "Te", "Te", "Te", "Te"], "fractional_positions": [[0.0000, 0.0000, 0.0000], [0.3383, 0.3383, 0.6687], [0.6617, 0.6617, 0.3313], [0.0000, 0.0000, 0.5000], [0.3385, 0.3385, 0.1766], [0.6615, 0.6615, 0.8234], [0.1706, 0.1706, 0.5917], [0.1717, 0.1717, 0.0747], [0.4966, 0.4966, 0.2440], [0.5034, 0.5034, 0.7560], [0.8283, 0.8283, 0.9253], [0.8294, 0.8294, 0.4083]]}